VTcPt4 | PBE-GGA | relaxed

Summary:
Its density is 17.167 Mg/m³. As for the density of states at the Fermi level: 0.938 states/eV per atom. As for the electronic total energy: -45.8 eV per cell.

Lattice parameters (Å, degrees): 2.7553 2.7553 11.8397 90.00 90.00 90.00
Space group P4/mmm (No. 123)
One atom of each set of equivalent atoms:
1 V 0.0000 0.0000 0.0000 (multiplicity 1)
2 Tc 0.5000 0.5000 0.5000 (multiplicity 1)
3 Pt 0.0000 0.0000 0.3394 (multiplicity 2)
4 Pt 0.5000 0.5000 0.1538 (multiplicity 2)

***

TaCr2Co | PBE-GGA | relaxed

Summary:
Its density is 10.299 Mg/m³. As for the density of states at the Fermi level: 1.209 states/eV per atom. Its excess energy over the best structure of this formula in the dataset is 582 meV/atom. As for the electronic total energy: -143.4 eV per cell.

Lattice parameters (Å, degrees): 6.7706 6.7706 4.8379 90.00 90.00 90.00
Space group I-42d (No. 122)
One atom of each set of equivalent atoms:
1 Ta 0.0000 0.0000 0.0000 (multiplicity 4)
2 Cr 0.2178 0.2500 0.6250 (multiplicity 8)
3 Co 0.0000 0.0000 0.5000 (multiplicity 4)

***

Er3Al2Zn | PBE-GGA | relaxed

Summary:
Its density is 7.640 Mg/m³. As for the density of states at the Fermi level: 0.673 states/eV per atom. As for the electronic total energy: -24.8 eV per cell.

Lattice parameters (Å, degrees): 3.5269 3.5269 10.8532 90.00 90.00 90.00
Space group P4/mmm (No. 123)
One atom of each set of equivalent atoms:
1 Er 0.0000 0.0000 0.0000 (multiplicity 1)
2 Er 0.0000 0.0000 0.3390 (multiplicity 2)
3 Al 0.5000 0.5000 0.1708 (multiplicity 2)
4 Zn 0.5000 0.5000 0.5000 (multiplicity 1)

***

Re2MoP | PBE-GGA | relaxed

Summary:
Its density is 14.202 Mg/m³. As for the density of states at the Fermi level: 0.985 states/eV per atom. As for the electronic total energy: -79.7 eV per cell.

Lattice parameters (Å, degrees): 3.6940 3.6940 8.5569 90.00 90.00 90.00
Space group I4/mmm (No. 139)
One atom of each set of equivalent atoms:
1 Re 0.0000 0.5000 0.2500 (multiplicity 4)
2 Mo 0.0000 0.0000 0.0000 (multiplicity 2)
3 P 0.0000 0.0000 0.5000 (multiplicity 2)